This record from the Alexandria database describes RbTmFeO4 after structural relaxation. The functional is PBE+U.

space-group type	P2_1/m
electronic total energy	-6.455	eV/atom

Lattice parameters (Å, degrees): 5.831 5.991 7.603 90.00 109.64 90.00
Positions (direct):
1 Rb 0.200 0.250 0.437
2 Rb 0.800 0.750 0.563
3 Tm 0.322 0.250 0.965
4 Tm 0.678 0.750 0.035
5 Fe 0.233 0.750 0.158
6 Fe 0.767 0.250 0.842
7 O 0.005 0.750 0.938
8 O 0.027 0.750 0.287
9 O 0.462 0.523 0.169
10 O 0.462 0.977 0.169
11 O 0.538 0.023 0.831
12 O 0.538 0.477 0.831
13 O 0.973 0.250 0.713
14 O 0.995 0.250 0.062